No. 1
Density functional theory data (PBE-GGA) for a relaxed structure of Co2MoIr.

Unit cell a=2.709 b=2.709 c=7.135 alpha=90.00 beta=90.00 gamma=90.00
Element x y z (fractional)
Co 0.000 0.000 0.000
Co 0.500 0.500 0.213
Mo 0.500 0.500 0.744
Ir 0.000 0.000 0.466

Output
- Energy: -8.4669 eV/atom
- Spin magnetization: 3.24 Bohr magnetons per cell
- V: 13.1 A^3/atom
- SG: No. 99
- DFT formation energy: 0.009 eV per atom


No. 2
Density functional theory data (PBE-GGA) for a relaxed structure of CoMo4Ir.

Unit cell a=5.111 b=5.111 c=5.111 alpha=60.00 beta=60.00 gamma=60.00
Element x y z (fractional)
Co 0.000 0.000 0.000
Mo 0.374 0.374 0.374
Mo 0.374 0.374 0.878
Mo 0.374 0.878 0.374
Mo 0.878 0.374 0.374
Ir 0.750 0.750 0.750

Output
- Energy: -9.4786 eV/atom
- Spin magnetization: 1.13 Bohr magnetons per cell
- V: 15.7 A^3/atom
- SG: No. 216
- DFT formation energy: 0.403 eV per atom


No. 3
Density functional theory data (PBE-GGA) for a relaxed structure of Co3Mo5Ir12.

Unit cell a=12.370 b=12.370 c=12.370 alpha=109.47 beta=109.47 gamma=109.47
Element x y z (fractional)
Co 0.125 0.250 0.375
Co 0.125 0.375 0.750
Co 0.250 0.375 0.125
Co 0.250 0.875 0.625
Co 0.375 0.125 0.250
Co 0.375 0.750 0.125
Co 0.625 0.250 0.875
Co 0.625 0.875 0.750
Co 0.750 0.125 0.375
Co 0.750 0.625 0.875
Co 0.875 0.625 0.250
Co 0.875 0.750 0.625
Mo 0.000 0.000 0.000
Mo 0.000 0.000 0.500
Mo 0.000 0.500 0.000
Mo 0.000 0.500 0.500
Mo 0.125 0.750 0.875
Mo 0.125 0.875 0.250
Mo 0.250 0.125 0.875
Mo 0.250 0.625 0.375
Mo 0.375 0.250 0.625
Mo 0.375 0.625 0.750
Mo 0.500 0.000 0.000
Mo 0.500 0.000 0.500
Mo 0.500 0.500 0.000
Mo 0.500 0.500 0.500
Mo 0.625 0.375 0.250
Mo 0.625 0.750 0.375
Mo 0.750 0.375 0.625
Mo 0.750 0.875 0.125
Mo 0.875 0.125 0.750
Mo 0.875 0.250 0.125
Ir 0.066 0.237 0.132
Ir 0.066 0.330 0.934
Ir 0.066 0.632 0.395
Ir 0.066 0.934 0.670
Ir 0.105 0.737 0.670
Ir 0.105 0.868 0.434
Ir 0.132 0.066 0.237
Ir 0.132 0.566 0.895
Ir 0.170 0.237 0.605
Ir 0.170 0.434 0.566
Ir 0.237 0.132 0.066
Ir 0.237 0.605 0.170
Ir 0.263 0.330 0.895
Ir 0.263 0.434 0.368
Ir 0.330 0.895 0.263
Ir 0.330 0.934 0.066
Ir 0.368 0.263 0.434
Ir 0.368 0.605 0.934
Ir 0.395 0.066 0.632
Ir 0.395 0.830 0.763
Ir 0.434 0.105 0.868
Ir 0.434 0.368 0.263
Ir 0.434 0.566 0.170
Ir 0.434 0.830 0.566
Ir 0.566 0.170 0.434
Ir 0.566 0.434 0.830
Ir 0.566 0.632 0.737
Ir 0.566 0.895 0.132
Ir 0.605 0.170 0.237
Ir 0.605 0.934 0.368
Ir 0.632 0.395 0.066
Ir 0.632 0.737 0.566
Ir 0.670 0.066 0.934
Ir 0.670 0.105 0.737
Ir 0.737 0.566 0.632
Ir 0.737 0.670 0.105
Ir 0.763 0.395 0.830
Ir 0.763 0.868 0.934
Ir 0.830 0.566 0.434
Ir 0.830 0.763 0.395
Ir 0.868 0.434 0.105
Ir 0.868 0.934 0.763
Ir 0.895 0.132 0.566
Ir 0.895 0.263 0.330
Ir 0.934 0.066 0.330
Ir 0.934 0.368 0.605
Ir 0.934 0.670 0.066
Ir 0.934 0.763 0.868

Output
- Energy: -8.3580 eV/atom
- Spin magnetization: 20.05 Bohr magnetons per cell
- V: 18.2 A^3/atom
- SG: No. 230
- DFT formation energy: 0.732 eV per atom


No. 4
Density functional theory data (PBE-GGA) for a relaxed structure of Co2MoIrN.

Unit cell a=3.816 b=3.816 c=4.044 alpha=90.00 beta=90.00 gamma=90.00
Element x y z (fractional)
Co 0.000 0.500 0.000
Co 0.500 0.000 0.000
Mo 0.000 0.000 0.500
Ir 0.500 0.500 0.500
N 0.000 0.000 0.000

Output
- Energy: -8.4421 eV/atom
- Spin magnetization: 2.14 Bohr magnetons per cell
- V: 11.8 A^3/atom
- SG: No. 123
- Raw formation energy: 0.4 kJ per mole of atoms